# 1
The following is a PBE calculation of a relaxed Cs2InH3 crystal, from Alexandria.

Values from the calculation:
- Total magnetization: 0.000 Bohr magnetons per cell
- Energy: -58.0 eV/cell

```
data_Cs2InH3
_chemical_formula_sum 'Cs8 In4 H12'
_cell_length_a 16.435
_cell_length_b 5.214
_cell_length_c 7.427
_cell_angle_alpha 90.00
_cell_angle_beta 116.63
_cell_angle_gamma 90.00
_symmetry_space_group_name_H-M 'C 1 2/c 1'
_symmetry_Int_Tables_number 15
loop_
_symmetry_equiv_pos_as_xyz
'x,y,z'
'-x,-y,-z'
'-x,y,-z+1/2'
'x,-y,z+1/2'
'x+1/2,y+1/2,z'
'-x+1/2,-y+1/2,-z'
'-x+1/2,y+1/2,-z+1/2'
'x+1/2,-y+1/2,z+1/2'
loop_
_atom_site_label
_atom_site_fract_x
_atom_site_fract_y
_atom_site_fract_z
_atom_site_occupancy
Cs1 0.149 0.000 0.148 1
In1 0.000 0.485 0.250 1
H1 0.000 0.120 0.250 1
H2 0.148 0.491 0.397 1
```

***

# 2
The following is a PBE calculation of a relaxed Cs2KIn2H6 crystal, from Alexandria.

Values from the calculation:
- Total magnetization: 0.000 Bohr magnetons per cell
- Energy: -57.9 eV/cell

```
data_Cs2KIn2H6
_chemical_formula_sum 'Cs4 K2 In4 H12'
_cell_length_a 12.271
_cell_length_b 6.500
_cell_length_c 8.932
_cell_angle_alpha 90.00
_cell_angle_beta 132.29
_cell_angle_gamma 90.00
_symmetry_space_group_name_H-M 'C 1 2/m 1'
_symmetry_Int_Tables_number 12
loop_
_symmetry_equiv_pos_as_xyz
'x,y,z'
'-x,-y,-z'
'-x,y,-z'
'x,-y,z'
'x+1/2,y+1/2,z'
'-x+1/2,-y+1/2,-z'
'-x+1/2,y+1/2,-z'
'x+1/2,-y+1/2,z'
loop_
_atom_site_label
_atom_site_fract_x
_atom_site_fract_y
_atom_site_fract_z
_atom_site_occupancy
Cs1 0.220 0.000 0.212 1
K1 0.000 0.000 0.500 1
In1 0.013 0.500 0.171 1
H1 0.046 0.279 0.764 1
H2 0.213 0.500 0.392 1
```